No. 1
Below is AsSeBr2 after structural relaxation, with properties calculated at the PBE level.

Calculated values
Total magnetization   0.1964 μB per atom
VASP energy   -35.00 eV for the cell shown
ΔE to the lowest computed polymorph   0.864 eV per atom
Raw formation energy   0.683 eV per atom
Volume   23.020 Å³ per atom

The structure in CIF format:
```
data_AsSeBr2
_cell_length_a 7.168
_cell_length_b 7.168
_cell_length_c 7.168
_cell_angle_alpha 90.00
_cell_angle_beta 90.00
_cell_angle_gamma 90.00
_space_group_name_H-M_alt 'F m -3 m'
_space_group_IT_number 225
_space_group_name_Hall '-F 4 2 3'
loop_
_atom_site_label
_atom_site_type_symbol
_atom_site_fract_x
_atom_site_fract_y
_atom_site_fract_z
As1 As 0.000 0.000 0.000
Se1 Se 0.000 0.000 0.500
Br1 Br 0.250 0.250 0.250
```


No. 2
Below is AsSeBr2 after structural relaxation, with properties calculated at the PBE level.

Calculated values
Total magnetization   0.0000 μB per atom
VASP energy   -37.90 eV for the cell shown
ΔE to the lowest computed polymorph   0.683 eV per atom
Raw formation energy   0.501 eV per atom
Volume   22.506 Å³ per atom

The structure in CIF format:
```
data_AsSeBr2
_cell_length_a 7.114
_cell_length_b 7.114
_cell_length_c 7.114
_cell_angle_alpha 90.00
_cell_angle_beta 90.00
_cell_angle_gamma 90.00
_space_group_name_H-M_alt 'F -4 3 m'
_space_group_IT_number 216
_space_group_name_Hall 'F -4 2 3'
loop_
_atom_site_label
_atom_site_type_symbol
_atom_site_fract_x
_atom_site_fract_y
_atom_site_fract_z
As1 As 0.000 0.000 0.000
Se1 Se 0.250 0.250 0.750
Br1 Br 0.000 0.000 0.500
Br2 Br 0.250 0.250 0.250
```


No. 3
Below is AsSeBr2 after structural relaxation, with properties calculated at the PBE level.

Calculated values
Total magnetization   0.0002 μB per atom
VASP energy   -29.32 eV for the cell shown
ΔE to the lowest computed polymorph   0.608 eV per atom
Raw formation energy   0.426 eV per atom
Volume   25.902 Å³ per atom

The structure in CIF format:
```
data_AsSeBr2
_cell_length_a 3.7380
_cell_length_b 3.7380
_cell_length_c 25.6868
_cell_angle_alpha 90.00
_cell_angle_beta 90.00
_cell_angle_gamma 120.00
_space_group_name_H-M_alt 'R -3 m'
_space_group_IT_number 166
_space_group_name_Hall '-R 3 2"'
loop_
_atom_site_label
_atom_site_type_symbol
_atom_site_fract_x
_atom_site_fract_y
_atom_site_fract_z
As1 As 0.0000 0.0000 0.0000
Se1 Se 0.0000 0.0000 0.5000
Br1 Br 0.0000 0.0000 0.2654
```


No. 4
Below is AsSeBr2 after structural relaxation, with properties calculated at the PBE level.

Calculated values
Total magnetization   0.0000 μB per atom
VASP energy   -17.37 eV for the cell shown
ΔE to the lowest computed polymorph   0.880 eV per atom
Raw formation energy   0.698 eV per atom
Volume   22.821 Å³ per atom

The structure in CIF format:
```
data_AsSeBr2
_cell_length_a 6.574
_cell_length_b 8.370
_cell_length_c 3.318
_cell_angle_alpha 90.00
_cell_angle_beta 90.00
_cell_angle_gamma 90.00
_space_group_name_H-M_alt 'C m m m'
_space_group_IT_number 65
_space_group_name_Hall '-C 2 2'
loop_
_atom_site_label
_atom_site_type_symbol
_atom_site_fract_x
_atom_site_fract_y
_atom_site_fract_z
As1 As 0.000 0.000 0.000
Se1 Se 0.000 0.500 0.000
Br1 Br 0.250 0.250 0.500
```


No. 5
Below is AsSeBr2 after structural relaxation, with properties calculated at the PBE level.

Calculated values
Total magnetization   0.0000 μB per atom
VASP energy   -23.45 eV for the cell shown
ΔE to the lowest computed polymorph   0.121 eV per atom
Raw formation energy   -0.061 eV per atom
Volume   26.715 Å³ per atom

The structure in CIF format:
```
data_AsSeBr2
_cell_length_a 6.835
_cell_length_b 3.859
_cell_length_c 8.115
_cell_angle_alpha 90.00
_cell_angle_beta 93.04
_cell_angle_gamma 90.00
_space_group_name_H-M_alt 'C 1 m 1'
_space_group_IT_number 8
loop_
_space_group_symop_operation_xyz
'x,y,z'
'x,-y,z'
'x+1/2,y+1/2,z'
'x+1/2,-y+1/2,z'
loop_
_atom_site_label
_atom_site_type_symbol
_atom_site_fract_x
_atom_site_fract_y
_atom_site_fract_z
As1 As 0.000 0.000 0.000
Se1 Se 0.159 0.500 0.179
Br1 Br 0.277 0.000 0.771
Br2 Br 0.454 0.000 0.451
```


No. 6
Below is As2SeBr2 after structural relaxation, with properties calculated at the PBE level.

Calculated values
Total magnetization   0.0000 μB per atom
VASP energy   -30.89 eV for the cell shown
ΔE to the lowest computed polymorph   0.000 eV per atom
Raw formation energy   0.137 eV per atom
Volume   27.926 Å³ per atom

The structure in CIF format:
```
data_As2SeBr2
_cell_length_a 7.560
_cell_length_b 7.560
_cell_length_c 4.886
_cell_angle_alpha 90.00
_cell_angle_beta 90.00
_cell_angle_gamma 90.00
_space_group_name_H-M_alt 'P 4/m b m'
_space_group_IT_number 127
_space_group_name_Hall '-P 4 2ab'
loop_
_atom_site_label
_atom_site_type_symbol
_atom_site_fract_x
_atom_site_fract_y
_atom_site_fract_z
As1 As 0.247 0.253 0.000
Se1 Se 0.000 0.000 0.000
Br1 Br 0.164 0.664 0.500
```


Which value of total magnetization does entry 6 give? 0.0000 μB per atom